Arrangement P

The following is a meta-GGA SCAN calculation of a crystal of LiTlOs2 relaxed with PBEsol, from the Alexandria database.

```
4
Lattice="2.6605 -4.8361 0.0000 2.6605 4.8361 0.0000 -1.4030 0.0000 2.4245" Properties=species:S:1:pos:R:3 pbc="T T T"
Li 0.0000 0.0000 0.0000
Tl 2.6605 0.0000 0.0000
Os 0.6287 2.4180 1.2123
Os 0.6287 -2.4180 1.2123
```

---

Arrangement Q

The following is a meta-GGA SCAN calculation of a crystal of LiTlOs2 relaxed with PBEsol, from the Alexandria database.

```
4
Lattice="3.7347 0.0000 0.0000 0.0000 3.7347 0.0000 0.0000 0.0000 4.4204" Properties=species:S:1:pos:R:3 pbc="T T T"
Li 0.0000 0.0000 0.0000
Tl 1.8674 1.8674 0.0000
Os 0.0000 1.8674 2.2102
Os 1.8674 0.0000 2.2102
```

---

Which of them is least stable? Easy: arrangement Q.

---

Arrangement P

The following is a meta-GGA SCAN calculation of a crystal of LiP relaxed with PBEsol, from the Alexandria database.

```
8
Lattice="4.2313 0.0000 0.0000 -2.1157 3.6644 0.0000 0.0000 0.0000 7.7032" Properties=species:S:1:pos:R:3 pbc="T T T"
Li 0.0000 2.4430 0.6295
Li 0.0000 2.4430 3.2221
Li 2.1157 1.2215 4.4811
Li 2.1157 1.2215 7.0737
P 0.0000 0.0000 1.9258
P 0.0000 0.0000 5.7774
P 0.0000 2.4430 5.7774
P 2.1157 1.2215 1.9258
```

---

Arrangement Q

The following is a meta-GGA SCAN calculation of a crystal of LiP relaxed with PBEsol, from the Alexandria database.

```
4
Lattice="1.2822 -4.6802 0.0000 1.2822 4.6802 0.0000 0.0000 0.0000 4.5724" Properties=species:S:1:pos:R:3 pbc="T T T"
Li 1.2822 3.1621 3.4293
Li 1.2822 -3.1621 1.1431
P 1.2822 0.6442 3.4293
P 1.2822 -0.6442 1.1431
```

---

Arrangement R

The following is a meta-GGA SCAN calculation of a crystal of LiP relaxed with PBEsol, from the Alexandria database.

```
4
Lattice="4.9321 -1.3870 0.0000 4.9321 1.3870 0.0000 -1.6279 0.0000 4.1246" Properties=species:S:1:pos:R:3 pbc="T T T"
Li 0.8762 0.0000 1.0013
Li 7.3600 0.0000 3.1234
P 3.4720 0.0000 1.1838
P 4.7642 0.0000 2.9408
```

---

Which of them is least stable? Easy: arrangement P.

---

Arrangement P

The following is a meta-GGA SCAN calculation of a crystal of Li2P relaxed with PBEsol, from the Alexandria database.

```
6
Lattice="4.1336 -1.3663 0.0000 4.1336 1.3663 0.0000 -0.5764 0.0000 7.1289" Properties=species:S:1:pos:R:3 pbc="T T T"
Li 0.7543 0.0000 3.0262
Li 2.4272 0.0000 6.4271
Li 5.2635 0.0000 0.7017
Li 6.9364 0.0000 4.1026
P 2.9687 0.0000 1.8305
P 4.7220 0.0000 5.2984
```

---

Arrangement Q

The following is a meta-GGA SCAN calculation of a crystal of Li2P relaxed with PBEsol, from the Alexandria database.

```
3
Lattice="4.0942 0.0000 0.0000 -2.0471 3.5457 0.0000 0.0000 0.0000 2.6547" Properties=species:S:1:pos:R:3 pbc="T T T"
Li 0.0000 2.3638 0.0000
Li 2.0471 1.1819 0.0000
P 0.0000 0.0000 1.3274
```

---

Which of them is least stable? Easy: arrangement Q.

---

Arrangement P

The following is a meta-GGA SCAN calculation of a crystal of LiP7 relaxed with PBEsol, from the Alexandria database.

```
8
Lattice="0.0000 3.8255 3.8255 3.8255 0.0000 3.8255 3.8255 3.8255 0.0000" Properties=species:S:1:pos:R:3 pbc="T T T"
Li 0.0000 0.0000 0.0000
P 1.9127 1.9127 0.0000
P 1.9127 0.0000 1.9127
P 3.8255 1.9127 1.9127
P 0.0000 1.9127 1.9127
P 1.9127 3.8255 1.9127
P 1.9127 1.9127 3.8255
P 3.8255 3.8255 3.8255
```

---

Arrangement Q

The following is a meta-GGA SCAN calculation of a crystal of LiP7 relaxed with PBEsol, from the Alexandria database.

```
64
Lattice="-6.6506 6.6506 7.2690 6.6506 -6.6506 7.2690 6.6506 6.6506 -7.2690" Properties=species:S:1:pos:R:3 pbc="T T T"
Li 8.3642 -1.6118 1.8173
Li 1.7136 1.6118 1.8173
Li 1.7136 -1.6118 5.4518
Li 1.7136 8.2624 -1.8173
Li 4.9371 -1.6118 9.0863
Li 4.9371 8.2624 1.8173
Li 4.9371 5.0389 5.4518
Li -1.7136 8.2624 5.4518
P 7.6252 1.0811 -1.1167
P 8.8948 2.3507 -2.5178
P 10.9399 0.5995 -0.5448
P 5.8940 5.7888 -5.1407
P 9.0119 0.5995 0.5448
P 4.1871 -4.0819 5.7629
P 3.9248 5.6866 -4.1793
P 4.4064 4.2999 -2.5178
P -0.9746 1.0811 1.1167
P 2.4635 4.0819 -1.5062
P 3.3253 2.7284 0.0000
P 5.8940 0.8618 2.1283
P 3.9248 -0.9640 4.1793
P 0.5969 0.0000 3.6345
P 7.2475 0.0000 3.6345
P 3.9248 0.9640 3.0898
P 5.8940 -0.8618 5.1407
P 3.3253 -2.7284 7.2690
P 9.1141 2.5687 1.5062
P 5.6760 5.5695 -1.1167
P -2.2442 2.3507 2.5178
P 3.9248 7.6146 -3.0898
P 4.1871 4.0819 1.5062
P 2.3613 6.0511 -0.5448
P -0.7566 0.8618 5.1407
P 4.2893 6.0511 0.5448
P 0.9746 5.5695 1.1167
P 2.2442 4.2999 2.5178
P 4.4064 2.3507 4.7512
P 5.6760 1.0811 6.1524
P 2.3613 0.5995 6.7243
P 7.4072 5.7888 2.1283
P 4.2893 0.5995 7.8138
P 2.4635 2.5687 5.7629
P 2.7258 -0.9640 10.3588
P 8.8948 4.2999 4.7512
P 0.9746 1.0811 8.3857
P -2.4635 4.0819 5.7629
P 3.3253 9.3790 0.0000
P 0.7566 7.5124 2.1283
P 2.7258 5.6866 4.1793
P -0.5969 6.6506 3.6345
P 6.0537 6.6506 3.6345
P 2.7258 7.6146 3.0898
P 0.7566 5.7888 5.1407
P 3.3253 3.9222 7.2690
P 4.1871 2.5687 8.7752
P 7.6252 5.5695 6.1524
P 2.2442 2.3507 9.7869
P 2.7258 0.9640 11.4483
P 2.4635 10.7325 1.5062
P -2.3613 6.0511 6.7243
P 0.7566 0.8618 12.4097
P -4.2893 6.0511 7.8138
P -2.2442 4.2999 9.7869
P -0.9746 5.5695 8.3857
```

---

Which of them is least stable? Easy: arrangement P.